VASP calculation (GGA-PBE) on a relaxed LaTl2CrBr crystal.

Lattice parameters (Å, degrees): 6.357 6.357 5.649 90.00 90.00 90.00
Space group P4/mmm (No. 123)
Inequivalent atoms, fractional coordinates:
La: 0.000 0.000 0.000 x1
Tl: 0.000 0.500 0.000 x2
Cr: 0.500 0.500 0.500 x1
Br: 0.000 0.000 0.500 x1

formation energy without anion corrections: 486.8 kJ/mol of formula units

VASP calculation (GGA-PBE) on a relaxed Pm4SbPS2 crystal.

Lattice parameters (Å, degrees): 7.193 4.181 7.315 90.00 109.55 90.00
Space group P2/m (No. 10)
Inequivalent atoms, fractional coordinates:
Pm: 0.237 0.000 0.230 x2
Pm: 0.249 0.500 0.764 x2
Sb: 0.500 0.500 0.500 x1
P: 0.500 0.000 0.000 x1
S: 0.000 0.000 0.500 x1
S: 0.000 0.500 0.000 x1

formation energy without anion corrections: -1301.9 kJ/mol of formula units